Sc2GePt after structural relaxation. Source: OQMD, functional PBE.

abc: 4.6553 4.6553 4.6553
angles: 60.00 60.00 60.00
With the nearest neighbours (Å) after each atom.
Fractional positions:
Sc: 0.0000 0.0000 0.0000  4 Sc 2.85, 4 Pt 2.85
Sc: 0.2500 0.2500 0.2500  4 Ge 2.85, 4 Sc 2.85
Ge: 0.5000 0.5000 0.5000  4 Pt 2.85, 4 Sc 2.85
Pt: 0.7500 0.7500 0.7500  4 Ge 2.85, 4 Sc 2.85

Values from the calculation:
- crystal system = cubic
- spin magnetization (Bohr magnetons per cell) = 1.918
- VASP energy (eV/atom) = -6.3610
- space-group type = F-43m, No. 216

RbDyFeTe3 after structural relaxation. Source: OQMD, functional PBE.

abc: 9.6340 9.6340 9.5163
angles: 102.32 102.32 27.36
With the nearest neighbours (Å) after each atom.
Fractional positions:
Rb: 0.1473 0.1473 0.0670  7 Te 3.53-3.62
Rb: 0.8527 0.8527 0.9330  7 Te 3.53-3.62
Dy: 0.1698 0.1698 0.5801  6 Te 3.04-3.10
Dy: 0.8302 0.8302 0.4199  6 Te 3.04-3.10
Fe: 0.4921 0.4921 0.2797  2 Te 2.70-2.73
Fe: 0.5079 0.5079 0.7203  2 Te 2.70-2.73
Te: 0.0000 0.0000 0.5000  4 Fe 3.08, 2 Dy 3.10
Te: 0.3389 0.3389 0.6412  3 Dy 3.08-3.09, 1 Fe 3.09
Te: 0.3425 0.3425 0.2152  1 Fe 2.73, 2 Dy 3.04
Te: 0.5000 0.5000 0.0000  2 Fe 2.70
Te: 0.6575 0.6575 0.7848  1 Fe 2.73, 2 Dy 3.04
Te: 0.6611 0.6611 0.3588  3 Dy 3.08-3.09, 1 Fe 3.09

Values from the calculation:
- crystal system = monoclinic
- spin magnetization (Bohr magnetons per cell) = 8.009
- VASP energy (eV/atom) = -4.5596
- space-group type = C2/m, No. 12

Lu2CdAu after structural relaxation. Source: OQMD, functional PBE.

abc: 5.0225 5.0225 5.0225
angles: 60.00 60.00 60.00
With the nearest neighbours (Å) after each atom.
Fractional positions:
Lu: 0.0000 0.0000 0.0000  4 Au 3.08, 4 Lu 3.08
Lu: 0.2500 0.2500 0.2500  4 Cd 3.08, 4 Lu 3.08
Cd: 0.5000 0.5000 0.5000  4 Au 3.08, 4 Lu 3.08
Au: 0.7500 0.7500 0.7500  4 Cd 3.08, 4 Lu 3.08

Values from the calculation:
- energy relative to the elements (eV per formula unit) = -0.94
- crystal system = cubic
- spin magnetization (Bohr magnetons per cell) = 0.699
- space-group type = F-43m, No. 216

GdHoIn2Ir4 after structural relaxation. Source: OQMD, functional PBE.

abc: 4.5679 4.5679 8.9187
angles: 90.00 90.00 120.00
With the nearest neighbours (Å) after each atom.
Fractional positions:
Gd: 0.0000 0.0000 0.0000  8 Ir 2.94-3.19
Ho: 0.6667 0.3333 0.5000  8 Ir 2.93-3.15
In: 0.3333 0.6667 0.2504  6 Ir 2.80
In: 0.3333 0.6667 0.7496  6 Ir 2.80
Ir: 0.0000 0.0000 0.3574  1 Ir 2.54, 3 In 2.80
Ir: 0.0000 0.0000 0.6426  1 Ir 2.54, 3 In 2.80
Ir: 0.6667 0.3333 0.1466  1 Ir 2.62, 3 In 2.80
Ir: 0.6667 0.3333 0.8534  1 Ir 2.62, 3 In 2.80

Values from the calculation:
- crystal system = hexagonal
- spin magnetization (Bohr magnetons per cell) = 0.018
- VASP energy (eV/atom) = -6.6869
- space-group type = P-6m2, No. 187

La2Sm2CBrF4 after structural relaxation. Source: OQMD, functional PBE.

abc: 7.7122 7.7122 7.8455
angles: 119.32 119.32 28.79
With the nearest neighbours (Å) after each atom.
Fractional positions:
La: 0.1936 0.1936 0.1909  1 C 2.50, 5 F 2.53-2.66
La: 0.8064 0.8064 0.8091  1 C 2.50, 5 F 2.53-2.66
Sm: 0.4998 0.4998 0.2053  2 F 2.39-2.41, 2 C 2.51
Sm: 0.5002 0.5002 0.7947  2 F 2.39-2.41, 2 C 2.51
C: 0.0000 0.0000 0.0000  2 La 2.50, 4 Sm 2.51
Br: 0.0000 0.0000 0.5000  4 Sm 3.00
F: 0.3144 0.3144 0.0320  1 Sm 2.39, 3 La 2.56-2.66, 2 F 2.58
F: 0.3137 0.3137 0.6059  1 Sm 2.41, 2 La 2.53, 2 F 2.62
F: 0.6863 0.6863 0.3941  1 Sm 2.41, 2 La 2.53, 2 F 2.62
F: 0.6856 0.6856 0.9680  1 Sm 2.39, 3 La 2.56-2.66, 2 F 2.58

Values from the calculation:
- crystal system = monoclinic
- spin magnetization (Bohr magnetons per cell) = 0.009
- VASP energy (eV/atom) = -6.2241
- space-group type = C2/m, No. 12

DyHoSi4Os2 after structural relaxation. Source: OQMD, functional PBE.

abc: 4.4147 4.0867 8.1304
angles: 90.00 101.83 90.00
With the nearest neighbours (Å) after each atom.
Fractional positions:
Dy: 0.0000 0.0000 0.0000  9 Si 2.91-3.25, 2 Os 3.22
Ho: 0.8207 0.5000 0.5946  8 Si 2.90-3.18, 2 Os 3.21
Si: 0.0746 0.5000 0.2924  4 Os 2.35-2.40, 2 Si 2.51
Si: 0.3745 0.0000 0.7089  1 Os 2.35, 2 Si 2.49
Si: 0.4475 0.5000 0.8866  1 Os 2.35, 2 Si 2.49
Si: 0.7479 0.0000 0.3036  4 Os 2.35-2.41, 2 Si 2.51
Os: 0.2967 0.0000 0.4143  5 Si 2.35-2.41
Os: 0.5260 0.5000 0.1817  5 Si 2.35-2.40

Values from the calculation:
- crystal system = monoclinic
- spin magnetization (Bohr magnetons per cell) = 0.013
- VASP energy (eV/atom) = -7.3950
- space-group type = Pm, No. 6

CsNdS2 after structural relaxation. Source: OQMD, functional PBE.

abc: 4.2415 4.2415 16.1341
angles: 90.00 90.00 120.00
With the nearest neighbours (Å) after each atom.
Fractional positions:
Cs: 0.3333 0.6667 0.2500  6 S 3.51
Cs: 0.6667 0.3333 0.7500  6 S 3.51
Nd: 0.0000 0.0000 0.0000  6 S 2.88
Nd: 0.0000 0.0000 0.5000  6 S 2.88
S: 0.3333 0.6667 0.5938  3 Nd 2.88
S: 0.3333 0.6667 0.9062  3 Nd 2.88
S: 0.6667 0.3333 0.0938  3 Nd 2.88
S: 0.6667 0.3333 0.4062  3 Nd 2.88

Values from the calculation:
- crystal system = hexagonal
- spin magnetization (Bohr magnetons per cell) = 0.002
- VASP energy (eV/atom) = -5.2799
- space-group type = P6_3/mmc, No. 194

W2I after structural relaxation. Source: OQMD, functional PBE.

abc: 5.5207 5.5207 5.5207
angles: 60.00 60.00 60.00
With the nearest neighbours (Å) after each atom.
Fractional positions:
W: 0.0000 0.0000 0.0000  6 W 2.76
W: 0.0000 0.0000 0.5000  6 W 2.76
W: 0.0000 0.5000 0.0000  6 W 2.76
W: 0.5000 0.0000 0.0000  6 W 2.76
I: 0.3750 0.3750 0.3750  12 W 3.24, 4 I 3.38
I: 0.6250 0.6250 0.6250  12 W 3.24, 4 I 3.38

Values from the calculation:
- crystal system = cubic
- spin magnetization (Bohr magnetons per cell) = 0.002
- space-group type = Fd-3m, No. 227
- energy above the most stable polymorph in this dataset (meV per atom) = 0